1.
First-principles (PBE) data for crystalline Er2ScU at its relaxed geometry, as listed in Alexandria via LeMat-Bulk.

Output
calculated formation energy	0.3969	eV per atom

Lattice parameters (Å, degrees): 3.2106 3.2106 35.4079 90.00 90.00 120.00
Space group R-3m (No. 166, hexagonal axes)
Unique sites:
Er1 0.0000 0.0000 0.0894 [6 per cell]
Sc1 0.0000 0.0000 0.5000 [3 per cell]
U1 0.0000 0.0000 0.0000 [3 per cell]



2.
First-principles (PBE) data for crystalline ReNiMo2 at its relaxed geometry, as listed in Alexandria via LeMat-Bulk.

Output
calculated formation energy	0.1080	eV per atom

Lattice parameters (Å, degrees): 3.212 3.212 5.627 90.00 90.00 90.00
Space group P4mm (No. 99)
Unique sites:
Re1 0.000 0.000 0.000 [1 per cell]
Ni1 0.500 0.500 0.762 [1 per cell]
Mo1 0.000 0.000 0.542 [1 per cell]
Mo2 0.500 0.500 0.261 [1 per cell]



3.
First-principles (PBE) data for crystalline CsKI at its relaxed geometry, as listed in Alexandria via LeMat-Bulk.

Output
E_form (uncorrected)	-991	meV/atom

Lattice parameters (Å, degrees): 5.518 5.518 13.385 90.00 90.00 90.00
Space group P4/nmm (No. 129, origin choice 2)
Unique sites:
Cs1 0.250 0.250 0.151 [2 per cell]
K1 0.250 0.250 0.589 [2 per cell]
I1 0.250 0.250 0.858 [2 per cell]



4.
First-principles (PBE) data for crystalline BaPmSiAu at its relaxed geometry, as listed in Alexandria via LeMat-Bulk.

Output
E_form (uncorrected)	-441	meV/atom

Lattice parameters (Å, degrees): 7.677 7.677 7.677 90.00 90.00 90.00
Space group F-43m (No. 216)
Unique sites:
Ba1 0.000 0.000 0.000 [4 per cell]
Pm1 0.000 0.000 0.500 [4 per cell]
Si1 0.250 0.250 0.250 [4 per cell]
Au1 0.250 0.250 0.750 [4 per cell]



5.
First-principles (PBE) data for crystalline Dy2TlCu3 at its relaxed geometry, as listed in Alexandria via LeMat-Bulk.

Output
calculated formation energy	-0.1948	eV per atom

Lattice parameters (Å, degrees): 7.030 8.932 15.638 90.00 90.00 90.00
Space group Fmmm (No. 69)
Unique sites:
Dy1 0.238 0.000 0.000 [8 per cell]
Dy2 0.250 0.250 0.250 [8 per cell]
Tl1 0.000 0.000 0.335 [8 per cell]
Cu1 0.000 0.000 0.162 [8 per cell]
Cu2 0.000 0.240 0.079 [16 per cell]



6.
First-principles (PBE) data for crystalline Th3BiTeIr at its relaxed geometry, as listed in Alexandria via LeMat-Bulk.

Output
E_form (uncorrected)	-747	meV/atom

Lattice parameters (Å, degrees): 8.457 4.286 10.619 90.00 113.24 90.00
Space group P2_1/m (No. 11)
Unique sites:
Th1 0.169 0.250 0.136 [2 per cell]
Th2 0.302 0.750 0.486 [2 per cell]
Th3 0.313 0.750 0.904 [2 per cell]
Bi1 0.488 0.250 0.741 [2 per cell]
Te1 0.002 0.250 0.375 [2 per cell]
Ir1 0.047 0.250 0.838 [2 per cell]



7.
First-principles (PBE) data for crystalline CoOsAu2 at its relaxed geometry, as listed in Alexandria via LeMat-Bulk.

Output
calculated formation energy	0.6323	eV per atom

Lattice parameters (Å, degrees): 2.752 4.721 9.592 90.00 90.00 90.00
Space group Immm (No. 71)
Unique sites:
Co1 0.000 0.000 0.000 [2 per cell]
Os1 0.000 0.000 0.500 [2 per cell]
Au1 0.000 0.500 0.261 [4 per cell]



8.
First-principles (PBE) data for crystalline Ta2OsSe at its relaxed geometry, as listed in Alexandria via LeMat-Bulk.

Output
E_form (uncorrected)	25	meV/atom

Lattice parameters (Å, degrees): 3.046 3.890 5.849 90.00 102.08 90.00
Space group P2/m (No. 10)
Unique sites:
Ta1 0.015 0.000 0.237 [2 per cell]
Os1 0.500 0.500 0.000 [1 per cell]
Se1 0.500 0.500 0.500 [1 per cell]



no.,volume (Å³/atom),VASP energy (eV per atom)
1,26.34,-6.2895
2,14.51,-9.8649
3,67.92,-2.1582
4,28.28,-4.2845
5,20.46,-4.1713
6,29.47,-7.1043
7,15.58,-5.5903
8,16.94,-9.5797